No. 1
{"formula": "LaSc3Nb", "functional": "PBE", "state": "optimized geometry", "lattice_angstrom": [[5.218, 0.000, 0.000], [0.000, 5.218, 0.000], [0.000, 0.000, 5.218]], "species": ["La", "Sc", "Sc", "Sc", "Nb"], "frac_coords": [[0.000, 0.000, 0.000], [0.000, 0.500, 0.500], [0.500, 0.000, 0.500], [0.500, 0.500, 0.000], [0.500, 0.500, 0.500]], "ef_mev_per_atom": 373, "volume_a3_per_atom": 28.4, "relative_energy_mev_per_atom": 0}

=====

No. 2
{"formula": "PrPuRu", "functional": "PBE", "state": "optimized geometry", "lattice_angstrom": [[3.932, 0.000, 0.000], [0.000, 4.906, 0.000], [-0.007, -0.012, 7.751]], "species": ["Pr", "Pr", "Pu", "Pu", "Ru", "Ru"], "frac_coords": [[0.250, 0.250, 0.136], [0.750, 0.750, 0.864], [0.250, 0.749, 0.467], [0.750, 0.251, 0.533], [0.251, 0.248, 0.753], [0.749, 0.752, 0.247]], "ef_mev_per_atom": -92, "volume_a3_per_atom": 24.9, "relative_energy_mev_per_atom": 11}

=====

No. 3
{"formula": "TcNi2W", "functional": "PBE", "state": "optimized geometry", "lattice_angstrom": [[0.000, 2.974, 2.974], [2.974, 0.000, 2.974], [2.974, 2.974, 0.000]], "species": ["Tc", "Ni", "Ni", "W"], "frac_coords": [[0.000, 0.000, 0.000], [0.250, 0.250, 0.250], [0.750, 0.750, 0.750], [0.500, 0.500, 0.500]], "ef_mev_per_atom": 278, "volume_a3_per_atom": 13.2, "relative_energy_mev_per_atom": 306}

=====

No. 4
{"formula": "Y2ErNi", "functional": "PBE", "state": "optimized geometry", "lattice_angstrom": [[3.453, 0.000, 0.000], [0.000, 3.453, 0.000], [0.000, 0.000, 8.628]], "species": ["Y", "Y", "Er", "Ni"], "frac_coords": [[0.000, 0.000, 0.189], [0.000, 0.000, 0.811], [0.500, 0.500, 0.500], [0.500, 0.500, 0.000]], "ef_mev_per_atom": -141, "volume_a3_per_atom": 25.7, "relative_energy_mev_per_atom": 106}

=====

No. 5
{"formula": "TmZnGa", "functional": "PBE", "state": "optimized geometry", "lattice_angstrom": [[-1.663, 1.663, 5.405], [1.663, -1.663, 5.405], [1.663, 1.663, -5.405]], "species": ["Tm", "Zn", "Ga"], "frac_coords": [[0.000, 0.000, 0.000], [0.319, 0.319, 0.000], [0.686, 0.686, 0.000]], "ef_mev_per_atom": -297, "volume_a3_per_atom": 19.9}

=====

No. 6
{"formula": "SrLiCa4", "functional": "PBE", "state": "optimized geometry", "lattice_angstrom": [[5.057, -7.588, 0.000], [5.057, 7.588, 0.000], [-2.234, 0.000, 6.447]], "species": ["Sr", "Sr", "Li", "Li", "Ca", "Ca", "Ca", "Ca", "Ca", "Ca", "Ca", "Ca"], "frac_coords": [[0.099, 0.901, 0.750], [0.901, 0.099, 0.250], [0.499, 0.501, 0.750], [0.501, 0.499, 0.250], [0.109, 0.336, 0.872], [0.217, 0.577, 0.450], [0.336, 0.109, 0.372], [0.423, 0.783, 0.050], [0.577, 0.217, 0.950], [0.664, 0.891, 0.628], [0.783, 0.423, 0.550], [0.891, 0.664, 0.128]], "ef_mev_per_atom": 62, "volume_a3_per_atom": 41.2, "relative_energy_mev_per_atom": 0}

=====

No. 7
{"formula": "BeRe2Si", "functional": "PBE", "state": "optimized geometry", "lattice_angstrom": [[3.974, -1.401, 0.000], [3.974, 1.401, 0.000], [-0.928, 0.000, 4.736]], "species": ["Be", "Re", "Re", "Si"], "frac_coords": [[0.000, 0.000, 0.000], [0.249, 0.249, 0.761], [0.751, 0.751, 0.239], [0.500, 0.500, 0.500]], "formation_energy_uncorrected_ev_per_atom": 0.0530, "volume_a3_per_atom": 13.2}

=====

No. 8
{"formula": "UGaAs", "functional": "PBE", "state": "optimized geometry", "lattice_angstrom": [[-1.990, 1.990, 4.158], [1.990, -1.990, 4.158], [1.990, 1.990, -4.158]], "species": ["U", "Ga", "As"], "frac_coords": [[0.000, 0.000, 0.000], [0.345, 0.345, 0.000], [0.642, 0.642, 0.000]], "ef_mev_per_atom": -98, "volume_a3_per_atom": 22.0}